1.
VASP calculation (PBE) on crystalline Al5In3Ga12 at its relaxed geometry.

Unit cell a=13.5205 b=13.5205 c=13.5205 alpha=109.47 beta=109.47 gamma=109.47
Fractional positions:
In 0.7500 0.3750 0.1250
In 0.8750 0.7500 0.1250
In 0.3750 0.7500 0.6250
In 0.2500 0.1250 0.3750
In 0.8750 0.1250 0.2500
In 0.3750 0.6250 0.2500
In 0.6250 0.3750 0.7500
In 0.1250 0.8750 0.7500
In 0.7500 0.8750 0.6250
In 0.6250 0.2500 0.3750
In 0.1250 0.2500 0.8750
In 0.2500 0.6250 0.8750
Al 0.1250 0.3750 0.2500
Al 0.0000 0.5000 0.0000
Al 0.0000 0.0000 0.0000
Al 0.3750 0.2500 0.1250
Al 0.5000 0.0000 0.5000
Al 0.5000 0.5000 0.0000
Al 0.1250 0.7500 0.3750
Al 0.7500 0.1250 0.8750
Al 0.7500 0.6250 0.3750
Al 0.3750 0.1250 0.7500
Al 0.6250 0.8750 0.2500
Al 0.5000 0.5000 0.5000
Al 0.5000 0.0000 0.0000
Al 0.0000 0.0000 0.5000
Al 0.2500 0.3750 0.6250
Al 0.2500 0.8750 0.1250
Al 0.0000 0.5000 0.5000
Al 0.8750 0.2500 0.6250
Al 0.6250 0.7500 0.8750
Al 0.8750 0.6250 0.7500
Ga 0.7238 0.1246 0.0536
Ga 0.3298 0.5536 0.4290
Ga 0.9464 0.3754 0.2762
Ga 0.5536 0.2238 0.1246
Ga 0.5992 0.7238 0.6702
Ga 0.9464 0.5710 0.1702
Ga 0.3298 0.7762 0.4008
Ga 0.0710 0.9008 0.1246
Ga 0.5710 0.9464 0.6702
Ga 0.7238 0.5992 0.1702
Ga 0.7762 0.4464 0.3754
Ga 0.8298 0.9290 0.0536
Ga 0.1246 0.7238 0.5536
Ga 0.3754 0.4290 0.0992
Ga 0.0992 0.9290 0.3754
Ga 0.4008 0.1246 0.5710
Ga 0.0992 0.1702 0.2238
Ga 0.4464 0.6702 0.0710
Ga 0.8298 0.9008 0.2762
Ga 0.1246 0.4008 0.0710
Ga 0.3754 0.9464 0.7762
Ga 0.5710 0.6246 0.4008
Ga 0.9290 0.8298 0.5536
Ga 0.7762 0.3298 0.9008
Ga 0.4290 0.3754 0.5992
Ga 0.0710 0.1702 0.4464
Ga 0.2238 0.6702 0.0992
Ga 0.1702 0.0992 0.7238
Ga 0.6246 0.0536 0.2238
Ga 0.8754 0.5992 0.9290
Ga 0.5536 0.3298 0.9290
Ga 0.5992 0.8754 0.4290
Ga 0.9008 0.8298 0.7762
Ga 0.9008 0.0710 0.6246
Ga 0.8754 0.2762 0.4464
Ga 0.1702 0.0710 0.9464
Ga 0.6246 0.5710 0.9008
Ga 0.4290 0.0536 0.3298
Ga 0.2762 0.4008 0.8298
Ga 0.2238 0.5536 0.6246
Ga 0.9290 0.0992 0.8754
Ga 0.6702 0.2238 0.5992
Ga 0.4464 0.7762 0.8754
Ga 0.0536 0.4290 0.8298
Ga 0.4008 0.2762 0.3298
Ga 0.0536 0.6246 0.7238
Ga 0.6702 0.4464 0.5710
Ga 0.2762 0.8754 0.9464

Properties
For the total energy, the calculation gives -2.9454 eV per atom. Its symmetry is Ia-3d, No. 230.

=====

2.
VASP calculation (PBE) on crystalline Tb5Tl2H at its relaxed geometry.

Unit cell a=6.9595 b=6.9596 c=6.6756 alpha=121.45 beta=121.45 gamma=89.95
Fractional positions:
Tb 0.7507 0.2530 0.0037
Tb 0.2530 0.2530 0.0038
Tb 0.7507 0.7507 0.0036
Tb 0.2530 0.7507 0.0037
Tb 0.7569 0.7569 0.5136
Tl 0.2534 0.7533 0.5068
Tl 0.7533 0.2534 0.5068
H 0.0061 0.0061 0.0122

Properties
For the total energy, the calculation gives -4.0422 eV per atom. Its symmetry is I4mm, No. 107.

=====

3.
VASP calculation (PBE) on crystalline BePt2Rh at its relaxed geometry.

Unit cell a=5.5610 b=4.2860 c=9.4561 alpha=90.00 beta=107.13 gamma=90.00
Fractional positions:
Be 0.5000 0.0000 0.5000
Be 0.5000 0.5000 0.0000
Be 0.0000 0.5000 0.0000
Be 0.0000 0.0000 0.5000
Rh 0.8556 0.0000 0.7085
Rh 0.1444 0.0000 0.2915
Rh 0.8556 0.5000 0.2085
Rh 0.1444 0.5000 0.7915
Pt 0.6492 0.0000 0.2971
Pt 0.3508 0.0000 0.7029
Pt 0.6492 0.5000 0.7971
Pt 0.3508 0.5000 0.2029
Pt 0.2480 0.0000 0.9963
Pt 0.7520 0.0000 0.0037
Pt 0.2480 0.5000 0.4963
Pt 0.7520 0.5000 0.5037

Properties
For the total energy, the calculation gives -6.1094 eV per atom. Its symmetry is C2/m, No. 12.